A plane-wave DFT calculation with PBE was carried out for an optimized crystal structure of In17Ga11Ge.

Output
- Total moment: 0.00 μB/cell
- VASP energy: -2.875 eV/atom
- Calculated volume: 24.26 A^3/atom
- Energy of formation: 106 kJ/mol of formula units

Cell lengths 9.1465, 9.1465, 9.3376 Å; angles 103.48, 103.48, 103.52 degrees
With the nearest neighbours (Å) after each atom.
Fractional coordinates of all 29 atoms:
In 0.0000 0.0000 0.0000  6 Ga 3.19-3.33, 3 In 3.35-3.56
In 0.0210 0.6277 0.0418  3 Ga 2.97-3.14, 3 In 3.11-3.16
In 0.2447 0.2447 0.7654  4 Ga 3.00-3.07, 1 In 3.08
In 0.2495 0.6376 0.3942  5 Ga 2.98-3.25
In 0.2584 0.2584 0.3790  11 Ga 3.18-3.38, 1 Ge 3.43, 2 In 3.46
In 0.2751 0.8777 0.7714  3 Ga 3.09-3.19, 5 In 3.30-3.46
In 0.3599 0.6401 0.0095  4 Ga 2.87-3.15, 2 In 3.14-3.16
In 0.6090 0.8632 0.3419  4 Ga 2.97-3.21, 3 In 3.23-3.26
In 0.6277 0.0210 0.0418  3 Ga 2.97-3.14, 3 In 3.11-3.16
In 0.6356 0.9194 0.7025  1 Ge 2.91, 1 Ga 2.94, 3 In 3.11-3.24
In 0.6376 0.2495 0.3942  5 Ga 2.98-3.25
In 0.6401 0.3599 0.0095  4 Ga 2.87-3.15, 2 In 3.14-3.16
In 0.6930 0.6930 0.9586  5 In 3.14-3.35, 1 Ge 3.14, 2 Ga 3.51
In 0.8632 0.6090 0.3419  4 Ga 2.97-3.21, 3 In 3.23-3.26
In 0.8777 0.2751 0.7714  3 Ga 3.09-3.19, 5 In 3.30-3.46
In 0.9194 0.6356 0.7025  1 Ge 2.91, 1 Ga 2.94, 3 In 3.11-3.24
In 0.9522 0.9522 0.5984  2 Ga 3.07, 7 In 3.08-3.32
Ga 0.0076 0.3854 0.5134  3 Ga 2.74-2.92, 1 In 2.94
Ga 0.0807 0.8949 0.3214  3 Ga 2.67-2.79, 2 In 2.97
Ga 0.1744 0.3659 0.0694  2 Ga 2.65-2.75, 1 In 2.93
Ga 0.3174 0.5465 0.6839  1 Ge 2.69, 1 Ga 2.75, 3 In 2.87-3.00
Ga 0.3167 0.9301 0.1784  3 Ga 2.65-2.92, 1 In 2.92
Ga 0.3659 0.1744 0.0694  2 Ga 2.65-2.75, 1 In 2.93
Ga 0.3854 0.0076 0.5134  3 Ga 2.74-2.92, 1 In 2.94
Ga 0.5099 0.5099 0.2735  1 Ge 2.80, 2 Ga 3.00, 2 In 3.01
Ga 0.5465 0.3174 0.6839  1 Ge 2.69, 1 Ga 2.75, 3 In 2.87-3.00
Ga 0.8949 0.0807 0.3214  3 Ga 2.67-2.79, 2 In 2.97
Ga 0.9301 0.3167 0.1784  3 Ga 2.65-2.92, 1 In 2.92
Ge 0.5799 0.5799 0.5951  3 Ga 2.69-2.80, 2 In 2.91

---

A plane-wave DFT calculation with PBE was carried out for an optimized crystal structure of In2GaGe.

Output
- Total moment: 0.00 μB/cell
- VASP energy: -3.128 eV/atom
- Calculated volume: 23.87 A^3/atom
- Energy of formation: 59 kJ/mol of formula units

Cell lengths 6.3902, 6.3902, 6.3902 Å; angles 102.72, 102.72, 124.03 degrees
With the nearest neighbours (Å) after each atom.
Fractional coordinates of all 8 atoms:
In 0.1086 0.6250 0.9836  2 Ge 2.83, 2 In 3.01, 2 Ga 3.01
In 0.3750 0.3586 0.4836  2 Ge 2.83, 2 In 3.01, 2 Ga 3.01
In 0.6414 0.1250 0.0164  2 Ge 2.83, 2 In 3.01, 2 Ga 3.01
In 0.8750 0.8914 0.5164  2 Ge 2.83, 2 In 3.01, 2 Ga 3.01
Ga 0.2500 0.7500 0.5000  2 Ge 3.00, 4 In 3.01
Ga 0.5000 0.5000 0.0000  2 Ge 3.00, 4 In 3.01
Ge 0.0000 0.0000 0.0000  4 In 2.83, 2 Ga 3.00
Ge 0.7500 0.2500 0.5000  4 In 2.83, 2 Ga 3.00

---

A plane-wave DFT calculation with PBE was carried out for an optimized crystal structure of InGa2Ge.

Output
- Total moment: 0.00 μB/cell
- VASP energy: -3.234 eV/atom
- Calculated volume: 21.06 A^3/atom
- Energy of formation: 46 kJ/mol of formula units

Cell lengths 4.9207, 4.9207, 4.9207 Å; angles 60.00, 60.00, 60.00 degrees
With the nearest neighbours (Å) after each atom.
Fractional coordinates of all 4 atoms:
In 0.0000 0.0000 0.0000  8 Ga 3.01
Ga 0.2500 0.2500 0.2500  4 Ge 3.01, 4 In 3.01
Ga 0.7500 0.7500 0.7500  4 Ge 3.01, 4 In 3.01
Ge 0.5000 0.5000 0.5000  8 Ga 3.01

---

A plane-wave DFT calculation with PBE was carried out for an optimized crystal structure of In2GaGe.

Output
- Total moment: 0.00 μB/cell
- VASP energy: -3.114 eV/atom
- Calculated volume: 23.80 A^3/atom
- Energy of formation: 64 kJ/mol of formula units

Cell lengths 11.2213, 11.2213, 11.2213 Å; angles 16.14, 16.14, 16.14 degrees
With the nearest neighbours (Å) after each atom.
Fractional coordinates of all 4 atoms:
In 0.0881 0.0881 0.0881  1 Ga 2.93, 6 In 3.15, 3 Ge 3.18
In 0.9119 0.9119 0.9119  1 Ga 2.93, 6 In 3.15, 3 Ge 3.18
Ga 0.0000 0.0000 0.0000  2 In 2.93, 6 Ga 3.15
Ge 0.5000 0.5000 0.5000  6 Ge 3.15, 6 In 3.18

---

A plane-wave DFT calculation with PBE was carried out for an optimized crystal structure of InGaGe3.

Output
- Total moment: 0.00 μB/cell
- VASP energy: -3.379 eV/atom
- Calculated volume: 24.82 A^3/atom
- Energy of formation: 263 kJ/mol of formula units

Cell lengths 4.9882, 4.9882, 4.9882 Å; angles 90.00, 90.00, 90.00 degrees
With the nearest neighbours (Å) after each atom.
Fractional coordinates of all 5 atoms:
In 0.0000 0.0000 0.0000  12 Ge 3.53
Ga 0.5000 0.5000 0.5000  6 Ge 2.49
Ge 0.0000 0.5000 0.5000  2 Ga 2.49
Ge 0.5000 0.0000 0.5000  2 Ga 2.49
Ge 0.5000 0.5000 0.0000  2 Ga 2.49

---

A plane-wave DFT calculation with PBE was carried out for an optimized crystal structure of K2In4Ga3Ge.

Output
- Total moment: 0.00 μB/cell
- VASP energy: -2.797 eV/atom
- Calculated volume: 27.11 A^3/atom
- Energy of formation: -109 kJ/mol of formula units

Cell lengths 4.7649, 4.7649, 11.9409 Å; angles 90.00, 90.00, 90.00 degrees
With the nearest neighbours (Å) after each atom.
Fractional coordinates of all 10 atoms:
K 0.0000 0.5000 0.2467  8 In 3.63-3.85, 6 Ga 3.65-3.79, 2 Ge 3.79
K 0.5000 0.0000 0.7533  8 In 3.63-3.85, 6 Ga 3.65-3.79, 2 Ge 3.79
In 0.0000 0.0000 0.5000  4 Ga 2.89
In 0.0000 0.5000 0.8668  3 Ga 2.75-2.86, 2 Ge 2.86
In 0.5000 0.0000 0.1332  3 Ga 2.75-2.86, 2 Ge 2.86
In 0.5000 0.5000 0.5000  4 Ga 2.89
Ga 0.0000 0.0000 0.0000  4 In 2.86
Ga 0.0000 0.5000 0.6365  5 In 2.75-2.89
Ga 0.5000 0.0000 0.3635  5 In 2.75-2.89
Ge 0.5000 0.5000 0.0000  4 In 2.86

---

A plane-wave DFT calculation with PBE was carried out for an optimized crystal structure of KInGa2Ge.

Output
- Total moment: 0.00 μB/cell
- VASP energy: -3.029 eV/atom
- Calculated volume: 24.91 A^3/atom
- Energy of formation: -61 kJ/mol of formula units

Cell lengths 6.5076, 6.5076, 6.5076 Å; angles 138.13, 136.77, 61.75 degrees
With the nearest neighbours (Å) after each atom.
Fractional coordinates of all 5 atoms:
K 0.0000 0.0000 0.0000  4 Ge 3.57, 8 Ga 3.59-3.72, 4 In 3.61-3.71
In 0.2467 0.7467 0.5000  2 Ga 2.79, 2 Ge 2.81
Ga 0.6186 0.6186 0.0000  1 Ge 2.58, 2 Ga 2.78, 2 In 2.79
Ga 0.7551 0.2551 0.5000  2 Ga 2.78, 2 Ge 2.82
Ge 0.3881 0.3881 0.0000  3 Ga 2.58-2.82, 2 In 2.81

---

A plane-wave DFT calculation with PBE was carried out for an optimized crystal structure of MnInGa2Ge.

Output
- Total moment: 0.00 μB/cell
- VASP energy: -4.437 eV/atom
- Calculated volume: 20.62 A^3/atom
- Energy of formation: 38 kJ/mol of formula units

Cell lengths 4.7464, 4.7464, 4.5757 Å; angles 90.00, 90.00, 90.00 degrees
With the nearest neighbours (Å) after each atom.
Fractional coordinates of all 5 atoms:
Mn 0.0000 0.0000 0.0000  2 Ge 2.29, 4 Ga 2.37
In 0.5000 0.5000 0.5000  8 Ga 3.30, 4 Ge 3.36
Ga 0.0000 0.5000 0.0000  2 Mn 2.37
Ga 0.5000 0.0000 0.0000  2 Mn 2.37
Ge 0.0000 0.0000 0.5000  2 Mn 2.29

---

A plane-wave DFT calculation with PBE was carried out for an optimized crystal structure of In2GaGeN.

Output
- Total moment: 0.00 μB/cell
- VASP energy: -3.747 eV/atom
- Calculated volume: 20.09 A^3/atom

Cell lengths 4.8642, 4.8642, 4.2451 Å; angles 90.00, 90.00, 90.00 degrees
With the nearest neighbours (Å) after each atom.
Fractional coordinates of all 5 atoms:
In 0.0000 0.5000 0.0000  2 N 2.43
In 0.5000 0.0000 0.0000  2 N 2.43
Ga 0.0000 0.0000 0.5000  8 In 3.23, 4 Ge 3.44
Ge 0.5000 0.5000 0.5000  2 N 2.12
N 0.5000 0.5000 0.0000  2 Ge 2.12

---

A plane-wave DFT calculation with PBE was carried out for an optimized crystal structure of NaInGaGe.

Output
- Total moment: 0.00 μB/cell
- VASP energy: -2.887 eV/atom
- Calculated volume: 22.76 A^3/atom
- Energy of formation: 15 kJ/mol of formula units

Cell lengths 5.0491, 5.0491, 5.0491 Å; angles 60.00, 60.00, 60.00 degrees
With the nearest neighbours (Å) after each atom.
Fractional coordinates of all 4 atoms:
Na 0.0000 0.0000 0.0000  4 Ge 3.09, 4 Ga 3.09
In 0.5000 0.5000 0.5000  4 Ge 3.09, 4 Ga 3.09
Ga 0.2500 0.2500 0.2500  4 In 3.09, 4 Na 3.09
Ge 0.7500 0.7500 0.7500  4 In 3.09, 4 Na 3.09

---

A plane-wave DFT calculation with PBE was carried out for an optimized crystal structure of In2GaNi7Ge2.

Output
- Total moment: 0.00 μB/cell
- VASP energy: -4.919 eV/atom
- Calculated volume: 14.64 A^3/atom
- Energy of formation: -79 kJ/mol of formula units

Cell lengths 3.4552, 3.4552, 14.9159 Å; angles 96.59, 96.59, 90.00 degrees
With the nearest neighbours (Å) after each atom.
Fractional coordinates of all 12 atoms:
In 0.1306 0.1306 0.2634  5 Ni 2.67-2.69
In 0.8694 0.8694 0.7366  5 Ni 2.67-2.69
Ga 0.5000 0.5000 0.0000  12 Ni 2.44-2.53
Ni 0.0000 0.0000 0.0000  4 Ga 2.44, 8 Ni 2.53
Ni 0.0621 0.5622 0.1253  6 Ni 2.44-2.53, 2 Ga 2.53, 2 In 2.67
Ni 0.2232 0.2232 0.4464  5 Ge 2.35-2.56
Ni 0.4378 0.9379 0.8747  6 Ni 2.44-2.53, 2 Ga 2.53, 2 In 2.67
Ni 0.5622 0.0621 0.1253  6 Ni 2.44-2.53, 2 Ga 2.53, 2 In 2.67
Ni 0.7768 0.7768 0.5536  5 Ge 2.35-2.56
Ni 0.9379 0.4378 0.8747  6 Ni 2.44-2.53, 2 Ga 2.53, 2 In 2.67
Ge 0.3031 0.3031 0.6059  5 Ni 2.35-2.56
Ge 0.6969 0.6969 0.3941  5 Ni 2.35-2.56

---

A plane-wave DFT calculation with PBE was carried out for an optimized crystal structure of NpInGaGe.

Output
- Total moment: 3.93 μB/cell
- VASP energy: -5.984 eV/atom
- Calculated volume: 21.11 A^3/atom
- Energy of formation: -59 kJ/mol of formula units

Cell lengths 4.1043, 4.4065, 4.6684 Å; angles 90.00, 90.00, 90.00 degrees
With the nearest neighbours (Å) after each atom.
Fractional coordinates of all 4 atoms:
Np 0.0000 0.0000 0.0000  4 Ge 3.01, 4 Ga 3.11, 4 In 3.21
In 0.0000 0.5000 0.5000  4 Ga 3.01, 4 Ge 3.11, 4 Np 3.21
Ga 0.5000 0.0000 0.5000  4 In 3.01, 4 Np 3.11, 4 Ge 3.21
Ge 0.5000 0.5000 0.0000  4 Np 3.01, 4 In 3.11, 4 Ga 3.21